Entry from OQMD via LeMat-Bulk: Sc7NiBr12 after structural relaxation (PBE).

- Total magnetization: 1.00 μB/cell
- E: -4.96 eV per atom

```
Sc7NiBr12
1.0
7.0104 4.0475 3.1815
-7.0104 4.0475 3.1815
0.0000 -8.0949 3.1815
Br Ni Sc
12 1 7
Direct
0.6828 0.2221 0.0742 Br
0.3866 0.4625 0.1580 Br
0.0742 0.6828 0.2221 Br
0.7779 0.9258 0.3172 Br
0.4625 0.1580 0.3866 Br
0.1580 0.3866 0.4625 Br
0.8420 0.6134 0.5375 Br
0.5375 0.8420 0.6134 Br
0.2221 0.0742 0.6828 Br
0.9258 0.3172 0.7779 Br
0.6134 0.5375 0.8420 Br
0.3172 0.7779 0.9258 Br
0.0000 0.0000 0.0000 Ni
0.3071 0.1013 0.0305 Sc
0.0305 0.3071 0.1013 Sc
0.1013 0.0305 0.3071 Sc
0.5000 0.5000 0.5000 Sc
0.8987 0.9695 0.6929 Sc
0.9695 0.6929 0.8987 Sc
0.6929 0.8987 0.9695 Sc
```